# 1
VASP calculation (PBE-GGA) on a relaxed AcScInHg crystal.

- Energy relative to the elements: -33.0 kJ/mol of atoms
- Volume: 28.7 A^3/atom
- Fermi-level density of states: 4.7 states/eV/f.u.
- Energy: -3.712 eV per atom

Cell lengths 5.455, 5.455, 5.455 Å; angles 60.00, 60.00, 60.00 degrees
Positions (direct):
1 Ac 0.000 0.000 0.000
2 Sc 0.500 0.500 0.500
3 In 0.750 0.750 0.750
4 Hg 0.250 0.250 0.250


# 2
VASP calculation (PBE-GGA) on a relaxed NaPmBi crystal.

- Polymorph energy (0 for the lowest one): 0.008 eV/atom
- Energy relative to the elements: -36.7 kJ/mol of atoms
- Volume: 34.5 A^3/atom
- Fermi-level density of states: 2.1 states/eV/f.u.
- Energy: -3.697 eV per atom

Cell lengths 5.271, 5.271, 5.271 Å; angles 60.00, 60.00, 60.00 degrees
Positions (direct):
1 Na 0.000 0.000 0.000
2 Pm 0.500 0.500 0.500
3 Bi 0.250 0.250 0.250